Entry 1:
Here is YTlMo2 after structural relaxation from Alexandria via LeMat-Bulk. Energies are from GGA-PBEsol.

Geometry as POSCAR:
```
YTlMo2
1.0
-3.6924 -1.6424 -0.6334
1.6744 -3.7312 -0.0858
0.3895 2.3029 4.9661
Mo Tl Y
2 1 1
direct
0.7500 0.2500 0.5000
0.2500 0.7500 0.5000
0.5000 0.5000 0.0000
0.0000 0.0000 0.0000
```

## Properties
- Relative energy among the computed polymorphs: 246 meV/atom
- D(E_F): 4.01 states/eV per cell
- Volume: 19.5 Å³ per atom
- Calculated formation energy: 0.5773 eV per atom
- ρ: 10.3 Mg/m³



Entry 2:
Here is Cs2TeS3 after structural relaxation from Alexandria via LeMat-Bulk. Energies are from GGA-PBEsol.

Geometry as POSCAR:
```
Cs2TeS3
1.0
-4.7953 -3.5585 7.9451
11.0232 -2.4084 5.5745
0.1872 12.9064 5.2059
Cs Te S
16 8 24
direct
0.4313 0.0876 0.1265
0.9313 0.4124 0.6265
0.5687 0.9124 0.8735
0.0687 0.5876 0.3735
0.0425 0.2709 0.9188
0.5425 0.2291 0.4188
0.9575 0.7291 0.0812
0.4575 0.7709 0.5812
0.0328 0.1483 0.4012
0.5328 0.3517 0.9012
0.9672 0.8517 0.5988
0.4672 0.6483 0.0988
0.8191 0.3678 0.1465
0.3191 0.1322 0.6465
0.1809 0.6322 0.8535
0.6809 0.8678 0.3535
0.8231 0.0339 0.1166
0.3231 0.4661 0.6166
0.1769 0.9661 0.8834
0.6769 0.5339 0.3834
0.2417 0.3848 0.2015
0.7417 0.1152 0.7015
0.7583 0.6152 0.7985
0.2583 0.8848 0.2985
0.7491 0.1217 0.2534
0.2491 0.3783 0.7534
0.2509 0.8783 0.7466
0.7509 0.6217 0.2466
0.3218 0.1145 0.8920
0.8218 0.3855 0.3920
0.6782 0.8855 0.1080
0.1782 0.6145 0.6080
0.2423 0.3578 0.4884
0.7423 0.1422 0.9884
0.7577 0.6422 0.5116
0.2577 0.8578 0.0116
0.4698 0.3635 0.1671
0.9698 0.1365 0.6671
0.5302 0.6365 0.8329
0.0302 0.8635 0.3329
0.1477 0.4925 0.0777
0.6477 0.0075 0.5777
0.8523 0.5075 0.9223
0.3523 0.9925 0.4223
0.1339 0.2209 0.1714
0.6339 0.2791 0.6714
0.8661 0.7791 0.8286
0.3661 0.7209 0.3286
```

## Properties
- Energy: -184.44 eV/cell
- D(E_F): 0.00 states/eV per cell
- Volume: 36.2 Å³ per atom
- ρ: 3.7 Mg/m³



Entry 3:
Here is SbMoI2 after structural relaxation from Alexandria via LeMat-Bulk. Energies are from GGA-PBEsol.

Geometry as POSCAR:
```
SbMoI2
1.0
5.0845 0.0000 0.0000
2.5423 4.4033 0.0000
2.5423 1.4678 4.1515
I Sb Mo
2 1 1
direct
0.2500 0.2500 0.2500
0.7500 0.7500 0.7500
0.5000 0.5000 0.5000
0.0000 0.0000 0.0000
```

## Properties
- Energy: -16.20 eV/cell
- D(E_F): 3.76 states/eV per cell
- Volume: 23.2 Å³ per atom
- ρ: 8.4 Mg/m³



What is the formula in the first record? YTlMo2



What is the formula in the first record? YTlMo2